This record from Alexandria via LeMat-Bulk describes a relaxed structure of AlIrPd2Pt. The functional is PBE.

Lattice parameters (Å, degrees): 4.4258 4.5160 4.4258 90.00 90.00 90.00
Fractional coordinates of all 5 atoms:
1 Ir 0.5000 0.5000 0.5000
2 Pd 0.0000 0.0000 0.5000
3 Pd 0.5000 0.0000 0.0000
4 Pt 0.0000 0.5000 0.0000
5 Al 0.0000 0.0000 0.0000

Properties
- Magnetic moment: 0.0 μB per cell
- Energy of formation from the pure elements: 719 meV per atom
- SG: P4/mmm (123)

=====

This record from Alexandria via LeMat-Bulk describes a relaxed structure of BaAcCu2. The functional is PBE.

Lattice parameters (Å, degrees): 4.5258 4.5258 7.9818 73.53 73.53 60.00
Fractional coordinates of all 4 atoms:
1 Ac 0.0000 0.0000 0.0000
2 Ba 0.5000 0.5000 0.5000
3 Cu 0.7424 0.7424 0.7727
4 Cu 0.2576 0.2576 0.2273

Properties
- Magnetic moment: 0.0 μB per cell
- Energy of formation from the pure elements: 70 meV per atom
- SG: R-3m (166)
- Distance to the lowest polymorph of the same formula: 0.37 eV per formula unit

=====

This record from Alexandria via LeMat-Bulk describes a relaxed structure of Fe2PbW. The functional is PBE.

Lattice parameters (Å, degrees): 8.3542 8.3542 8.3542 21.13 21.13 21.13
Fractional coordinates of all 4 atoms:
1 Fe 0.0120 0.0120 0.0120
2 Fe 0.4880 0.4880 0.4880
3 Pb 0.2500 0.2500 0.2500
4 W 0.7500 0.7500 0.7500

Properties
- Magnetic moment: 2.2 μB per cell
- Energy of formation from the pure elements: 641 meV per atom
- SG: R-3m (166)

=====

This record from Alexandria via LeMat-Bulk describes a relaxed structure of In2RePt. The functional is PBE.

Lattice parameters (Å, degrees): 2.9070 4.3160 5.7930 90.00 90.00 90.00
Fractional coordinates of all 4 atoms:
1 In 0.0000 0.0000 0.9626
2 In 0.5000 0.5000 0.2816
3 Pt 0.0000 0.0000 0.4845
4 Re 0.5000 0.5000 0.7713

Properties
- Magnetic moment: 0.0 μB per cell
- Energy of formation from the pure elements: 296 meV per atom
- SG: Pmm2 (25)
- Distance to the lowest polymorph of the same formula: 0.56 eV per formula unit

=====

This record from Alexandria via LeMat-Bulk describes a relaxed structure of Hf2Ni3Pt4. The functional is PBE.

Lattice parameters (Å, degrees): 3.9663 4.8341 8.1455 73.65 75.91 65.78
Fractional coordinates of all 9 atoms:
1 Hf 0.3250 0.1198 0.2301
2 Hf 0.6750 0.8802 0.7699
3 Ni 0.3473 0.7567 0.5486
4 Ni 0.0000 0.0000 0.0000
5 Ni 0.6527 0.2433 0.4514
6 Pt 0.6617 0.5655 0.1110
7 Pt 0.0152 0.3114 0.6583
8 Pt 0.9848 0.6886 0.3417
9 Pt 0.3383 0.4345 0.8890

Properties
- Magnetic moment: 0.0 μB per cell
- Energy of formation from the pure elements: -743 meV per atom
- SG: C2/m (12)

=====

This record from Alexandria via LeMat-Bulk describes a relaxed structure of Ga3GeRh3. The functional is PBE.

Lattice parameters (Å, degrees): 5.2056 5.2743 5.2056 109.74 109.20 109.74
Fractional coordinates of all 7 atoms:
1 Ga 0.4997 0.0036 0.0000
2 Ga 0.5003 0.5039 0.5003
3 Ga 0.0000 0.0036 0.4997
4 Ge 0.0000 0.5030 0.0000
5 Rh 0.5001 0.5036 0.0000
6 Rh 0.4999 0.0036 0.4999
7 Rh 0.0000 0.5036 0.5001

Properties
- Magnetic moment: 0.0 μB per cell
- Energy of formation from the pure elements: -478 meV per atom
- SG: R-3m (166)
- Distance to the lowest polymorph of the same formula: 0.00 eV per formula unit

=====

> What is the magnetic moment in the third record?

2.2 μB per cell

=====

> Which formula does entry 1 have?

AlIrPd2Pt

=====

> What is the magnetic moment in the fourth record?

0.0 μB per cell